Arrangement i

Density functional theory data (PBE-GGA) for Zn2OF2 after structural relaxation.

It has space group I4_1/amd (No. 141, origin choice 2), with a = 5.761 Å, b = 5.761 Å, c = 9.621 Å, α = 90.00°, β = 90.00° and γ = 90.00°. The inequivalent atoms are Zn at (0.000, 0.000, 0.000), O at (0.000, 0.250, 0.875) and F at (0.000, 0.250, 0.152).



Arrangement ii

Density functional theory data (PBE-GGA) for Zn2OF2 after structural relaxation.

It has space group P4_2/nmc (No. 137, origin choice 2), with a = 7.593 Å, b = 7.593 Å, c = 5.376 Å, α = 90.00°, β = 90.00° and γ = 90.00°. The inequivalent atoms are Zn at (0.066, 0.250, 0.100), O at (0.250, 0.250, 0.362) and F at (0.056, 0.556, 0.750).



How do the structures above rank in stability at the extremes? arrangement ii comes first and arrangement i comes last.